[1]
The following is a DFT calculation (GGA-PBEsol) of a relaxed structure of MnNiSnPd.

Cell: 4.3554 4.3554 4.3554 Å, 60.00 60.00 60.00°
Last column: nearest neighbours and their distance in Å.
Atoms (fractional coordinates):
Ni 0.2500 0.2500 0.2500  4 Mn 2.67, 4 Sn 2.67
Pd 0.7500 0.7500 0.7500  4 Mn 2.67, 4 Sn 2.67
Mn 0.0000 0.0000 0.0000  4 Pd 2.67, 4 Ni 2.67
Sn 0.5000 0.5000 0.5000  4 Ni 2.67, 4 Pd 2.67

## Properties
- mass density (kg/m3) = 9629
- formation energy from the elements (meV/atom) = -211.8
- magnetization (μB per formula unit) = 4.09
- Fermi-level density of states (states/eV/atom) = 0.55

=====

[2]
The following is a DFT calculation (GGA-PBEsol) of a relaxed structure of SrAgSb2Pt.

Cell: 5.1266 5.2086 5.2086 Å, 90.00 90.00 90.00°
Last column: nearest neighbours and their distance in Å.
Atoms (fractional coordinates):
Sb 0.0000 0.5000 0.0000  2 Pt 2.60
Sb 0.0000 0.0000 0.5000  2 Pt 2.60
Pt 0.0000 0.0000 0.0000  2 Ag 2.56, 4 Sb 2.60
Sr 0.5000 0.5000 0.5000  8 Sb 3.65, 4 Ag 3.68
Ag 0.5000 0.0000 0.0000  2 Pt 2.56

## Properties
- mass density (kg/m3) = 7571
- magnetization (μB per formula unit) = 0.00
- formation energy without anion corrections (meV per atom) = -193
- Fermi-level density of states (states/eV/atom) = 0.66

=====

[3]
The following is a DFT calculation (GGA-PBEsol) of a relaxed structure of Y3GeSe.

Cell: 5.2122 5.2122 5.2122 Å, 90.00 90.00 90.00°
Last column: nearest neighbours and their distance in Å.
Atoms (fractional coordinates):
Se 0.0000 0.0000 0.0000  6 Y 2.61
Y 0.0000 0.0000 0.5000  2 Se 2.61
Y 0.0000 0.5000 0.0000  2 Se 2.61
Y 0.5000 0.0000 0.0000  2 Se 2.61
Ge 0.5000 0.5000 0.5000  12 Y 3.69

## Properties
- mass density (kg/m3) = 4906
- magnetization (μB per formula unit) = 0.00
- formation energy without anion corrections (meV per atom) = -516
- Fermi-level density of states (states/eV/atom) = 0.83

=====

[4]
The following is a DFT calculation (GGA-PBEsol) of a relaxed structure of Hf3ReS.

Cell: 4.6128 4.6128 4.6128 Å, 90.00 90.00 90.00°
Last column: nearest neighbours and their distance in Å.
Atoms (fractional coordinates):
Hf 0.0000 0.0000 0.5000  2 S 2.31
Hf 0.5000 0.0000 0.0000  2 S 2.31
Hf 0.0000 0.5000 0.0000  2 S 2.31
S 0.0000 0.0000 0.0000  6 Hf 2.31
Re 0.5000 0.5000 0.5000  12 Hf 3.26

## Properties
- mass density (kg/m3) = 12752
- magnetization (μB per formula unit) = 1.02
- formation energy without anion corrections (meV per atom) = 5
- Fermi-level density of states (states/eV/atom) = 0.91

=====

Q: The highest mass density belongs to which entry?
A: Hf3ReS

=====

Q: The highest magnetization belongs to which entry?
A: MnNiSnPd

=====

Q: magnetization of number 2 (SrAgSb2Pt)?
A: 0.00 μB per formula unit